Material: CaTcAg
Method: DFT, PBE
State: optimized geometry

abc: 7.3260 7.3259 2.8515
angles: 78.78 78.78 22.44
Last column: nearest neighbours and their distance in Å.
Fractional coordinates of all 3 atoms:
1 Ca 0.3282 0.3282 0.6718  4 Ca 2.85, 4 Tc 3.10
2 Tc 0.6609 0.6609 0.3391  4 Tc 2.85, 4 Ag 2.92, 4 Ca 3.10
3 Ag 0.0109 0.0109 0.9891  4 Ag 2.85, 4 Tc 2.92

Computed properties:
ΔE_f = 0.530 eV/atom
relative energy among the computed polymorphs = 0.0 kJ/mol of atoms